This record from the Alexandria database describes a relaxed TiVRhO6 crystal. The functional is GGA+U.

Lattice parameters (Å, degrees): 4.9942 4.9942 8.6287 90.00 90.00 120.00
Last column: nearest neighbours and their distance in Å.
Element x y z (fractional)
Ti 0.3333 0.6667 0.2500  6 O 1.97
Ti 0.6667 0.3333 0.7500  6 O 1.97
V 0.3333 0.6667 0.7500  6 O 1.91
V 0.6667 0.3333 0.2500  6 O 1.91
Rh 0.0000 0.0000 0.0000  6 O 2.05
Rh 0.0000 0.0000 0.5000  6 O 2.05
O 0.0095 0.3491 0.6302  1 V 1.91, 1 Ti 1.97, 1 Rh 2.05
O 0.0095 0.6604 0.8698  1 V 1.91, 1 Ti 1.97, 1 Rh 2.05
O 0.3396 0.3491 0.8698  1 V 1.91, 1 Ti 1.97, 1 Rh 2.05
O 0.3396 0.9905 0.6302  1 V 1.91, 1 Ti 1.97, 1 Rh 2.05
O 0.3491 0.0095 0.1302  1 V 1.91, 1 Ti 1.97, 1 Rh 2.05
O 0.3491 0.3396 0.3698  1 V 1.91, 1 Ti 1.97, 1 Rh 2.05
O 0.6509 0.6604 0.6302  1 V 1.91, 1 Ti 1.97, 1 Rh 2.05
O 0.6509 0.9905 0.8698  1 V 1.91, 1 Ti 1.97, 1 Rh 2.05
O 0.6604 0.0095 0.3698  1 V 1.91, 1 Ti 1.97, 1 Rh 2.05
O 0.6604 0.6509 0.1302  1 V 1.91, 1 Ti 1.97, 1 Rh 2.05
O 0.9905 0.3396 0.1302  1 V 1.91, 1 Ti 1.97, 1 Rh 2.05
O 0.9905 0.6509 0.3698  1 V 1.91, 1 Ti 1.97, 1 Rh 2.05

As for the calculated total energy: -7.654 eV/atom. The value obtained for the density of states at the Fermi level is 3.51 states/eV per cell. Its mass density is 5.3 g/cm3. The volume is 186 Å³ per cell.